{
  "formula": "NbCoSb3",
  "functional": "PBE",
  "state": "optimized geometry",
  "raw_formation_energy_ev_per_atom": 0.968,
  "sg": "Pm-3m (221)",
  "de_polymorph_kj_per_mol_fu": 124,
  "dft_energy_ha_per_atom": -0.1816,
  "lattice_angstrom": [[5.323, 0.000, 0.000], [0.000, 5.323, 0.000], [0.000, 0.000, 5.323]],
  "species": ["Nb", "Co", "Sb", "Sb", "Sb"],
  "frac_coords": [[0.000, 0.000, 0.000], [0.500, 0.500, 0.500], [0.000, 0.000, 0.500], [0.000, 0.500, 0.000], [0.500, 0.000, 0.000]]
}



{
  "formula": "Al2ReNi",
  "functional": "PBE",
  "state": "optimized geometry",
  "ef_ev_per_atom": -0.225,
  "sg": "R-3m (166)",
  "de_polymorph_kj_per_mol_fu": 57,
  "dft_energy_ha_per_atom": -0.2445,
  "lattice_angstrom": [[1.392, 0.804, 8.226], [-1.392, 0.804, 8.226], [0.000, -1.608, 8.226]],
  "species": ["Al", "Al", "Re", "Ni"],
  "frac_coords": [[0.244, 0.244, 0.244], [0.756, 0.756, 0.756], [0.000, 0.000, 0.000], [0.500, 0.500, 0.500]]
}



{
  "formula": "LiTi2Pt4",
  "functional": "PBE",
  "state": "optimized geometry",
  "ef_ev_per_atom": -0.776,
  "sg": "P1 (1)",
  "de_polymorph_kj_per_mol_fu": 0,
  "dft_energy_ha_per_atom": -0.2483,
  "lattice_angstrom": [[5.486, 0.000, 0.000], [-1.125, 6.467, 0.000], [-1.655, -3.245, 6.006]],
  "species": ["Li", "Li", "Ti", "Ti", "Ti", "Ti", "Pt", "Pt", "Pt", "Pt", "Pt", "Pt", "Pt", "Pt"],
  "frac_coords": [[0.000, 0.000, 0.000], [0.254, 0.544, 0.843], [0.245, 0.816, 0.284], [0.454, 0.165, 0.788], [0.697, 0.321, 0.458], [0.747, 0.798, 0.306], [0.070, 0.754, 0.618], [0.197, 0.237, 0.445], [0.369, 0.391, 0.156], [0.516, 0.956, 0.058], [0.557, 0.747, 0.612], [0.774, 0.582, 0.889], [0.883, 0.396, 0.171], [0.914, 0.164, 0.717]]
}



{
  "formula": "KV2Co",
  "functional": "PBE",
  "state": "optimized geometry",
  "ef_ev_per_atom": 1.456,
  "sg": "Fm-3m (225)",
  "de_polymorph_kj_per_mol_fu": 26,
  "dft_energy_ha_per_atom": -0.1894,
  "lattice_angstrom": [[0.000, 3.123, 3.123], [3.123, 0.000, 3.123], [3.123, 3.123, 0.000]],
  "species": ["K", "V", "V", "Co"],
  "frac_coords": [[0.000, 0.000, 0.000], [0.250, 0.250, 0.250], [0.750, 0.750, 0.750], [0.500, 0.500, 0.500]]
}



Please write out number 1 again, unchanged.
{
  "formula": "NbCoSb3",
  "functional": "PBE",
  "state": "optimized geometry",
  "raw_formation_energy_ev_per_atom": 0.968,
  "sg": "Pm-3m (221)",
  "de_polymorph_kj_per_mol_fu": 124,
  "dft_energy_ha_per_atom": -0.1816,
  "lattice_angstrom": [[5.323, 0.000, 0.000], [0.000, 5.323, 0.000], [0.000, 0.000, 5.323]],
  "species": ["Nb", "Co", "Sb", "Sb", "Sb"],
  "frac_coords": [[0.000, 0.000, 0.000], [0.500, 0.500, 0.500], [0.000, 0.000, 0.500], [0.000, 0.500, 0.000], [0.500, 0.000, 0.000]]
}



Question: What is the formula in the second record?
Answer: Al2ReNi